No. 1
Material: LiMg2Au
Method: DFT, GGA-PBE
State: optimized geometry

```
8
Lattice="2.2051 -3.8193 0.0000 2.2051 3.8193 0.0000 0.0000 0.0000 9.4607" Properties=species:S:1:pos:R:3 pbc="T T T"
Li 2.2051 1.2731 7.0955
Au 0.0000 0.0000 2.3652
Mg 2.2051 -1.2731 8.5785
Mg 2.2051 -1.2731 5.6125
Mg 2.2051 1.2731 0.8822
Li 2.2051 -1.2731 2.3652
Mg 2.2051 1.2731 3.8481
Au 0.0000 0.0000 7.0955
```

Output
The raw total energy comes out at -2.308 eV/atom. The crystal system is hexagonal.

No. 2
Material: TmCuIr
Method: DFT, GGA-PBE
State: optimized geometry

```
3
Lattice="2.3158 1.6875 3.4184 0.3469 4.4195 0.4934 -2.1297 2.0448 3.3435" Properties=species:S:1:pos:R:3 pbc="T T T"
Ir 0.3998 6.1139 5.4415
Cu 0.1333 2.0380 1.8138
Tm 0.0000 0.0000 0.0000
```

Output
The crystal system is cubic. As for the energy of formation: 0.21 eV/atom.